# 1
This record from Alexandria describes crystalline YAlFe2 at its relaxed geometry. The functional is PBE.

```
YAlFe2
1.0
4.368 0.000 0.000
0.000 4.368 0.000
0.000 0.000 3.365
Y Al Fe
1 1 2
direct
0.000 0.000 0.000 Y
0.500 0.500 0.000 Al
0.000 0.500 0.500 Fe
0.500 0.000 0.500 Fe
```

Properties
Formation energy from the elements in eV per atom: 0.0982
Total energy in eV per atom: -6.68
SG: No. 123

=====

# 2
This record from Alexandria describes crystalline YAlFe2 at its relaxed geometry. The functional is PBE.

```
YAlFe2
1.0
1.525 0.881 8.659
-1.525 0.881 8.659
0.000 -1.761 8.659
Y Al Fe
1 1 2
direct
0.000 0.000 0.000 Y
0.231 0.231 0.231 Al
0.491 0.491 0.491 Fe
0.760 0.760 0.760 Fe
```

Properties
Formation energy from the elements in eV per atom: 0.3016
Total energy in eV per atom: -6.48
SG: No. 160

=====

# 3
This record from Alexandria describes crystalline YAl9Fe3 at its relaxed geometry. The functional is PBE.

```
YAl9Fe3
1.0
2.523 -6.251 0.000
2.523 6.251 0.000
-2.446 0.000 6.221
Y Al Fe
1 9 3
direct
0.000 0.000 0.000 Y
0.000 0.000 0.500 Al
0.000 0.355 0.337 Al
0.000 0.645 0.663 Al
0.293 0.517 0.786 Al
0.355 0.000 0.337 Al
0.483 0.707 0.214 Al
0.517 0.293 0.786 Al
0.645 0.000 0.663 Al
0.707 0.483 0.214 Al
0.000 0.500 0.000 Fe
0.500 0.000 0.000 Fe
0.500 0.500 0.500 Fe
```

Properties
Formation energy from the elements in eV per atom: -0.3888
Total energy in eV per atom: -5.43
SG: No. 12

=====

# 4
This record from Alexandria describes crystalline Y2Al3Fe at its relaxed geometry. The functional is PBE.

```
Y2Al3Fe
1.0
2.767 1.598 4.365
-2.767 1.598 4.365
0.000 -3.195 4.365
Y Al Fe
2 3 1
direct
0.126 0.126 0.126 Y
0.874 0.874 0.874 Y
0.000 0.500 0.500 Al
0.500 0.000 0.500 Al
0.500 0.500 0.000 Al
0.500 0.500 0.500 Fe
```

Properties
Formation energy from the elements in eV per atom: -0.4113
Total energy in eV per atom: -5.85
SG: No. 166

=====

# 5
This record from Alexandria describes crystalline Y2Al2Fe at its relaxed geometry. The functional is PBE.

```
Y2Al2Fe
1.0
7.019 0.000 0.000
0.000 7.019 0.000
0.000 0.000 4.775
Y Al Fe
4 4 2
direct
0.166 0.334 0.000 Y
0.334 0.834 0.000 Y
0.666 0.166 0.000 Y
0.834 0.666 0.000 Y
0.142 0.642 0.500 Al
0.358 0.142 0.500 Al
0.642 0.858 0.500 Al
0.858 0.358 0.500 Al
0.000 0.000 0.000 Fe
0.500 0.500 0.000 Fe
```

Properties
Energy relative to the lowest polymorph listed for this composition in eV/atom: 0.559
Formation energy from the elements in eV per atom: 0.3918
Total energy in eV per atom: -5.38
SG: No. 127

=====

# 6
This record from Alexandria describes crystalline YbAl7Fe5 at its relaxed geometry. The functional is PBE.

```
YbAl7Fe5
1.0
-2.509 4.312 4.311
2.509 -4.312 4.311
2.509 4.312 -4.311
Yb Al Fe
1 7 5
direct
0.000 0.000 0.000 Yb
0.208 0.499 0.709 Al
0.231 0.731 0.500 Al
0.342 0.342 0.000 Al
0.353 0.012 0.340 Al
0.667 0.667 0.000 Al
0.672 0.012 0.660 Al
0.790 0.499 0.291 Al
0.005 0.003 0.497 Fe
0.005 0.508 0.003 Fe
0.506 0.003 0.997 Fe
0.506 0.508 0.503 Fe
0.767 0.267 0.500 Fe
```

Properties
Formation energy from the elements in eV per atom: -0.3597
Total energy in eV per atom: -5.75
SG: No. 44

=====

# 7
This record from Alexandria describes crystalline YbAl8Fe4 at its relaxed geometry. The functional is PBE.

```
YbAl8Fe4
1.0
-4.342 4.342 2.516
4.342 -4.342 2.516
4.342 4.342 -2.516
Yb Al Fe
1 8 4
direct
0.000 0.000 0.000 Yb
0.000 0.338 0.338 Al
0.000 0.662 0.662 Al
0.278 0.500 0.778 Al
0.338 0.000 0.338 Al
0.500 0.278 0.778 Al
0.500 0.722 0.222 Al
0.662 0.000 0.662 Al
0.722 0.500 0.222 Al
0.000 0.000 0.500 Fe
0.000 0.500 0.000 Fe
0.500 0.000 0.000 Fe
0.500 0.500 0.500 Fe
```

Properties
Formation energy from the elements in eV per atom: -0.3899
Total energy in eV per atom: -5.41
SG: No. 139

=====

# 8
This record from Alexandria describes crystalline Al4ZnFe15 at its relaxed geometry. The functional is PBE.

```
Al4ZnFe15
1.0
3.596 0.000 0.000
0.000 3.596 0.000
0.000 0.000 18.714
Al Zn Fe
4 1 15
direct
0.000 0.000 0.100 Al
0.000 0.000 0.298 Al
0.000 0.000 0.702 Al
0.000 0.000 0.900 Al
0.000 0.000 0.500 Zn
0.000 0.500 0.000 Fe
0.000 0.500 0.199 Fe
0.000 0.500 0.399 Fe
0.000 0.500 0.601 Fe
0.000 0.500 0.801 Fe
0.500 0.000 0.000 Fe
0.500 0.000 0.199 Fe
0.500 0.000 0.399 Fe
0.500 0.000 0.601 Fe
0.500 0.000 0.801 Fe
0.500 0.500 0.099 Fe
0.500 0.500 0.295 Fe
0.500 0.500 0.500 Fe
0.500 0.500 0.705 Fe
0.500 0.500 0.901 Fe
```

Properties
Formation energy from the elements in eV per atom: -0.1166
Total energy in eV per atom: -7.28
SG: No. 123